<P>
Compound: Li2CuP4O12
Source: Alexandria via LeMat-Bulk
Functional: GGA-PBEsol
Structure: relaxed

Geometry as POSCAR:
```
Li2CuP4O12
1.0
9.3251 0.0000 0.0000
0.0000 9.2916 0.0000
0.0000 0.0000 9.8826
Li Cu P O
8 4 16 48
Direct
0.9043 0.9902 0.1714
0.0957 0.0098 0.8286
0.4043 0.0098 0.8286
0.5957 0.4902 0.3286
0.9043 0.4902 0.3286
0.5957 0.9902 0.1714
0.4043 0.5098 0.6714
0.0957 0.5098 0.6714
0.2500 0.0015 0.2014
0.7500 0.4985 0.7014
0.2500 0.5015 0.2986
0.7500 0.9985 0.7986
0.2500 0.2240 0.4691
0.7500 0.2760 0.9691
0.9635 0.2113 0.6069
0.5365 0.2113 0.6069
0.2500 0.8055 0.6129
0.4635 0.7887 0.3931
0.0365 0.7887 0.3931
0.7500 0.7760 0.5309
0.2500 0.7240 0.0309
0.9635 0.7113 0.8931
0.5365 0.7113 0.8931
0.7500 0.6945 0.1129
0.2500 0.3055 0.8871
0.4635 0.2887 0.1069
0.0365 0.2887 0.1069
0.7500 0.1945 0.3871
0.8835 0.6443 0.0218
0.9340 0.1180 0.7282
0.7500 0.1135 0.9569
0.7500 0.0995 0.2655
0.2500 0.9005 0.7345
0.2500 0.8865 0.0431
0.4340 0.8820 0.2718
0.0660 0.8820 0.2718
0.9416 0.8712 0.8856
0.5584 0.8712 0.8856
0.7500 0.8639 0.6561
0.3835 0.8557 0.5218
0.1165 0.8557 0.5218
0.7500 0.8539 0.1287
0.8753 0.8253 0.4327
0.6247 0.8253 0.4327
0.3753 0.6747 0.9327
0.1247 0.6747 0.9327
0.2500 0.6461 0.6287
0.5660 0.1180 0.7282
0.6165 0.6443 0.0218
0.2500 0.6361 0.1561
0.4416 0.6288 0.3856
0.0584 0.6288 0.3856
0.9340 0.6180 0.7718
0.5660 0.6180 0.7718
0.7500 0.6135 0.5431
0.7500 0.5995 0.2345
0.2500 0.4005 0.7655
0.2500 0.3865 0.4569
0.4340 0.3820 0.2282
0.0660 0.3820 0.2282
0.9416 0.3712 0.6144
0.5584 0.3712 0.6144
0.7500 0.3639 0.8439
0.3835 0.3557 0.9782
0.1165 0.3557 0.9782
0.7500 0.3539 0.3713
0.8753 0.3253 0.0673
0.6247 0.3253 0.0673
0.3753 0.1747 0.5673
0.1247 0.1747 0.5673
0.2500 0.1461 0.8713
0.8835 0.1443 0.4782
0.0584 0.1288 0.1144
0.2500 0.1361 0.3439
0.4416 0.1288 0.1144
0.6165 0.1443 0.4782
```

Values from the calculation:
The value obtained for the density of states at the Fermi level is 9.34 states/eV per cell. For the mass density, the calculation gives 3.1 g/cm³. As for the crystal system: orthorhombic.

---

<Q>
Compound: Li2CuP4O12
Source: Alexandria via LeMat-Bulk
Functional: GGA-PBEsol
Structure: relaxed

Geometry as POSCAR:
```
Li2CuP4O12
1.0
-2.3934 -5.8686 -3.6996
9.8013 -4.6694 1.0663
-2.9915 -3.6832 11.3687
Li Cu P O
8 4 16 48
Direct
0.3743 0.8486 0.2136
0.6257 0.3486 0.2864
0.3746 0.0515 0.3440
0.6254 0.5515 0.1560
0.3746 0.4485 0.8440
0.6254 0.9485 0.6560
0.3743 0.6514 0.7136
0.6257 0.1514 0.7864
0.9954 0.7582 0.6843
0.0046 0.2582 0.8157
0.9954 0.7418 0.1843
0.0046 0.2418 0.3157
0.0981 0.2533 0.0766
0.3572 0.5894 0.3170
0.4930 0.2878 0.0460
0.5070 0.7878 0.4540
0.9019 0.7467 0.9234
0.6428 0.0894 0.1830
0.9702 0.9792 0.8283
0.0298 0.4792 0.6717
0.9019 0.7533 0.4234
0.0981 0.2467 0.5766
0.9702 0.5208 0.3283
0.0298 0.0208 0.1717
0.3572 0.9106 0.8170
0.4930 0.2122 0.5460
0.5070 0.7122 0.9540
0.6428 0.4106 0.6830
0.3152 0.2613 0.1082
0.4048 0.6560 0.4348
0.5110 0.5067 0.2976
0.4000 0.8833 0.3850
0.5624 0.8029 0.5741
0.6000 0.3833 0.1150
0.7098 0.3187 0.7697
0.8125 0.4967 0.6583
0.4890 0.0067 0.2024
0.9846 0.6944 0.8289
0.0320 0.3065 0.9664
0.5952 0.1560 0.0652
0.6848 0.7613 0.3918
0.8887 0.1027 0.8471
0.9371 0.8937 0.9288
0.8930 0.9160 0.7217
0.1070 0.4160 0.7783
0.5624 0.6971 0.0741
0.0629 0.3937 0.5712
0.1113 0.6027 0.6529
0.7098 0.1813 0.2697
0.8125 0.0033 0.1583
0.9680 0.8065 0.5336
0.0154 0.1944 0.6711
0.9846 0.8056 0.3289
0.0320 0.1935 0.4664
0.1875 0.9967 0.8417
0.2902 0.8187 0.7303
0.8887 0.3973 0.3471
0.9371 0.6063 0.4288
0.4376 0.3029 0.9259
0.8930 0.5840 0.2217
0.1070 0.0840 0.2783
0.0629 0.1063 0.0712
0.1113 0.8973 0.1529
0.3152 0.2387 0.6082
0.4048 0.8440 0.9348
0.9680 0.6935 0.0336
0.0154 0.3056 0.1711
0.5110 0.9933 0.7976
0.1875 0.5033 0.3417
0.2902 0.6813 0.2303
0.4000 0.6167 0.8850
0.4376 0.1971 0.4259
0.6000 0.1167 0.6150
0.4890 0.4933 0.7024
0.5952 0.3440 0.5652
0.6848 0.7387 0.8918
```

Values from the calculation:
For the mass density, the calculation gives 2.7 g/cm³. As for the crystal system: monoclinic.

---

The structure with the least stability is <P>.

---

<P>
Compound: Li2CuP4O12
Source: Alexandria via LeMat-Bulk
Functional: GGA-PBEsol
Structure: relaxed

Geometry as POSCAR:
```
Li2CuP4O12
1.0
7.4013 0.0255 0.0384
-0.2524 8.1665 0.0127
-0.2524 -3.1688 7.5266
Li Cu P O
4 2 8 24
Direct
0.1875 0.8243 0.5074
0.8125 0.1757 0.4926
0.3125 0.4926 0.1757
0.6875 0.5074 0.8243
0.7500 0.8713 0.1287
0.2500 0.1287 0.8713
0.8891 0.5645 0.2241
0.1840 0.0712 0.2284
0.3160 0.7716 0.9288
0.8160 0.9288 0.7716
0.1109 0.4355 0.7759
0.6840 0.2284 0.0712
0.3891 0.2241 0.5645
0.6109 0.7759 0.4355
0.7500 0.1262 0.8738
0.6721 0.1044 0.1678
0.3279 0.8956 0.8322
0.8279 0.8322 0.8956
0.4759 0.6672 0.9342
0.9759 0.9342 0.6672
0.1386 0.6446 0.8474
0.6386 0.8474 0.6446
0.1806 0.3717 0.9173
0.6806 0.9173 0.3717
0.4221 0.7022 0.3862
0.2500 0.3814 0.6186
0.2500 0.8738 0.1262
0.5241 0.3328 0.0658
0.0779 0.6138 0.2978
0.9221 0.3862 0.7022
0.7500 0.6186 0.3814
0.5779 0.2978 0.6138
0.3194 0.0827 0.6283
0.8194 0.6283 0.0827
0.3614 0.1526 0.3554
0.8614 0.3554 0.1526
0.0241 0.0658 0.3328
0.1721 0.1678 0.1044
```

Values from the calculation:
For the mass density, the calculation gives 2.9 g/cm³. As for the crystal system: monoclinic.

---

<Q>
Compound: Li2CuP4O12
Source: Alexandria via LeMat-Bulk
Functional: GGA-PBEsol
Structure: relaxed

Geometry as POSCAR:
```
Li2CuP4O12
1.0
-2.8044 4.3372 0.4924
0.5795 -2.7011 6.3252
6.0265 3.3455 -1.4866
Li Cu P O
2 1 4 12
Direct
0.3429 0.2772 0.4306
0.6571 0.7228 0.5694
0.0000 0.0000 0.0000
0.3306 0.7911 0.2082
0.1345 0.5771 0.7706
0.8655 0.4229 0.2294
0.6694 0.2089 0.7918
0.0367 0.2737 0.2013
0.3010 0.5612 0.6091
0.9633 0.7263 0.7987
0.6690 0.3615 0.0161
0.3310 0.6385 0.9839
0.2799 0.9925 0.1906
0.6990 0.4388 0.3909
0.4190 0.1786 0.6549
0.7201 0.0075 0.8094
0.0568 0.6619 0.2647
0.9432 0.3381 0.7353
0.5810 0.8214 0.3451
```

Values from the calculation:
For the mass density, the calculation gives 2.9 g/cm³. As for the crystal system: triclinic.

---

The structure with the least stability is <P>.